Mg2Mn3O6 | PBE+U | relaxed

space group = C2/m
energy relative to the lowest polymorph listed for this composition = 0.0 meV/atom

Cell: 8.0024 8.0024 5.4648 Å, 101.24 101.24 21.20°
With the nearest neighbours (Å) after each atom.
Fractional coordinates of all 11 atoms:
Mg 0.1754 0.1754 0.0866  6 O 2.07-2.13
Mg 0.8246 0.8246 0.9134  6 O 2.07-2.13
Mn 0.0000 0.0000 0.0000  6 O 2.19-2.30
Mn 0.3523 0.3523 0.4136  5 O 1.95-2.13
Mn 0.6477 0.6477 0.5864  5 O 1.95-2.13
O 0.1013 0.1013 0.3661  2 Mn 1.95, 1 Mg 2.10
O 0.2308 0.2308 0.7609  2 Mn 2.07, 3 Mg 2.13
O 0.4076 0.4076 0.0874  2 Mg 2.07, 3 Mn 2.13-2.19
O 0.5924 0.5924 0.9126  2 Mg 2.07, 3 Mn 2.13-2.19
O 0.7692 0.7692 0.2391  2 Mn 2.07, 3 Mg 2.13
O 0.8987 0.8987 0.6339  2 Mn 1.95, 1 Mg 2.10